Entry from the Alexandria database: a relaxed LiMg4Sc3 crystal (PBE).

```
8
Lattice="3.5293 0.0000 0.0000 0.0000 3.5293 0.0000 0.0000 0.0000 14.4979" Properties=species:S:1:pos:R:3 pbc="T T T"
Li 0.0000 0.0000 0.0000
Mg 1.7646 1.7646 1.6623
Mg 1.7646 1.7646 5.4256
Mg 1.7646 1.7646 9.0722
Mg 1.7646 1.7646 12.8356
Sc 0.0000 0.0000 3.6206
Sc 0.0000 0.0000 7.2489
Sc 0.0000 0.0000 10.8773
```

Calculated values
As for the magnetization: 0.00 μB/f.u. The value obtained for the formation energy is -42 meV/atom. The calculation puts the calculated volume at 22.57 A^3/atom. The density of states at the Fermi level comes out at 8.0 states/eV per cell. The calculation puts the total energy at -27.6 eV/cell.



Entry from the Alexandria database: a relaxed LiMg2Sc crystal (PBE).

```
4
Lattice="0.0000 3.5336 3.5336 3.5336 0.0000 3.5336 3.5336 3.5336 0.0000" Properties=species:S:1:pos:R:3 pbc="T T T"
Li 0.0000 0.0000 0.0000
Mg 1.7668 1.7668 1.7668
Mg 5.3005 5.3005 5.3005
Sc 3.5336 3.5336 3.5336
```

Calculated values
As for the magnetization: 0.00 μB/f.u. The value obtained for the formation energy is 40 meV/atom. The calculation puts the calculated volume at 22.06 A^3/atom. The density of states at the Fermi level comes out at 3.5 states/eV per cell. Its energy relative to the lowest polymorph listed for this composition is 0.0743 eV per atom. The calculation puts the total energy at -11.3 eV/cell.



Entry from the Alexandria database: a relaxed LiMg4Sc crystal (PBE).

```
6
Lattice="2.5287 -5.3007 0.0000 2.5287 5.3007 0.0000 0.0000 0.0000 5.0395" Properties=species:S:1:pos:R:3 pbc="T T T"
Li 0.0000 0.0000 0.0000
Mg 2.5287 3.4978 2.5197
Mg 2.5287 1.7396 0.0000
Mg 2.5287 -1.7396 0.0000
Mg 2.5287 -3.4978 2.5197
Sc 2.5287 0.0000 2.5197
```

Calculated values
As for the magnetization: 0.00 μB/f.u. The value obtained for the formation energy is 16 meV/atom. The calculation puts the calculated volume at 22.52 A^3/atom. The density of states at the Fermi level comes out at 3.3 states/eV per cell. Its energy relative to the lowest polymorph listed for this composition is 0.0601 eV per atom. The calculation puts the total energy at -14.5 eV/cell.